# NdEr2Ni PBE-GGA relaxed
data_NdEr2Ni
_chemical_formula_sum 'Nd1 Er2 Ni1'
_cell_length_a 3.815
_cell_length_b 3.815
_cell_length_c 9.163
_cell_angle_alpha 77.98
_cell_angle_beta 77.98
_cell_angle_gamma 60.00
_symmetry_space_group_name_H-M 'P 1'
_symmetry_Int_Tables_number 1
loop_
_symmetry_equiv_pos_as_xyz
'x,y,z'
loop_
_atom_site_label
_atom_site_type_symbol
_atom_site_fract_x
_atom_site_fract_y
_atom_site_fract_z
_atom_site_occupancy
Nd1 Nd 0.502 0.502 0.494 1
Er1 Er 0.057 0.057 0.830 1
Er2 Er 0.276 0.276 0.173 1
Ni1 Ni 0.665 0.665 0.004 1
# Crystal system: trigonal
# DFT formation energy in meV per atom: -133
# D(E_F) in states/eV/cell: 4.6
# Energy relative to the lowest polymorph listed for this composition in meV/atom: 71

---

# CaPr2P PBE-GGA relaxed
data_CaPr2P
_chemical_formula_sum 'Ca1 Pr2 P1'
_cell_length_a 4.056
_cell_length_b 4.056
_cell_length_c 10.229
_cell_angle_alpha 78.56
_cell_angle_beta 78.56
_cell_angle_gamma 60.00
_symmetry_space_group_name_H-M 'P 1'
_symmetry_Int_Tables_number 1
loop_
_symmetry_equiv_pos_as_xyz
'x,y,z'
loop_
_atom_site_label
_atom_site_type_symbol
_atom_site_fract_x
_atom_site_fract_y
_atom_site_fract_z
_atom_site_occupancy
Pr1 Pr 0.278 0.278 0.165 1
Pr2 Pr 0.722 0.722 0.835 1
P1 P 0.000 0.000 0.000 1
Ca1 Ca 0.500 0.500 0.500 1
# Crystal system: trigonal
# DFT formation energy in meV per atom: -691
# D(E_F) in states/eV/cell: 6.1

---

# AcBiHRh PBE-GGA relaxed
data_AcBiHRh
_chemical_formula_sum 'Ac1 Bi1 H1 Rh1'
_cell_length_a 4.951
_cell_length_b 4.951
_cell_length_c 4.951
_cell_angle_alpha 60.00
_cell_angle_beta 60.00
_cell_angle_gamma 60.00
_symmetry_space_group_name_H-M 'P 1'
_symmetry_Int_Tables_number 1
loop_
_symmetry_equiv_pos_as_xyz
'x,y,z'
loop_
_atom_site_label
_atom_site_type_symbol
_atom_site_fract_x
_atom_site_fract_y
_atom_site_fract_z
_atom_site_occupancy
H1 H 0.500 0.500 0.500 1
Ac1 Ac 0.250 0.250 0.250 1
Rh1 Rh 0.000 0.000 0.000 1
Bi1 Bi 0.750 0.750 0.750 1
# Crystal system: cubic
# D(E_F) in states/eV/cell: 4.8
# Energy relative to the lowest polymorph listed for this composition in meV/atom: 399

---

# CaHo2Pb PBE-GGA relaxed
data_CaHo2Pb
_chemical_formula_sum 'Ca1 Ho2 Pb1'
_cell_length_a 3.573
_cell_length_b 3.573
_cell_length_c 12.463
_cell_angle_alpha 81.76
_cell_angle_beta 81.76
_cell_angle_gamma 60.00
_symmetry_space_group_name_H-M 'P 1'
_symmetry_Int_Tables_number 1
loop_
_symmetry_equiv_pos_as_xyz
'x,y,z'
loop_
_atom_site_label
_atom_site_type_symbol
_atom_site_fract_x
_atom_site_fract_y
_atom_site_fract_z
_atom_site_occupancy
Pb1 Pb 0.000 0.000 0.000 1
Ca1 Ca 0.500 0.500 0.500 1
Ho1 Ho 0.085 0.085 0.745 1
Ho2 Ho 0.915 0.915 0.255 1
# Crystal system: trigonal
# DFT formation energy in meV per atom: 138
# D(E_F) in states/eV/cell: 6.0
# Energy relative to the lowest polymorph listed for this composition in meV/atom: 366

---

# PrSmGaSn PBE-GGA relaxed
data_PrSmGaSn
_chemical_formula_sum 'Pr1 Sm1 Ga1 Sn1'
_cell_length_a 5.369
_cell_length_b 5.369
_cell_length_c 5.369
_cell_angle_alpha 60.00
_cell_angle_beta 60.00
_cell_angle_gamma 60.00
_symmetry_space_group_name_H-M 'P 1'
_symmetry_Int_Tables_number 1
loop_
_symmetry_equiv_pos_as_xyz
'x,y,z'
loop_
_atom_site_label
_atom_site_type_symbol
_atom_site_fract_x
_atom_site_fract_y
_atom_site_fract_z
_atom_site_occupancy
Pr1 Pr 0.000 0.000 0.000 1
Ga1 Ga 0.750 0.750 0.750 1
Sn1 Sn 0.250 0.250 0.250 1
Sm1 Sm 0.500 0.500 0.500 1
# Crystal system: cubic
# DFT formation energy in meV per atom: -561
# D(E_F) in states/eV/cell: 2.5
# Energy relative to the lowest polymorph listed for this composition in meV/atom: 148

---

# Na2Dy2RuO6 PBE-GGA relaxed
data_Na2Dy2RuO6
_chemical_formula_sum 'Na2 Dy2 Ru1 O6'
_cell_length_a 5.729
_cell_length_b 5.729
_cell_length_c 5.878
_cell_angle_alpha 97.46
_cell_angle_beta 97.46
_cell_angle_gamma 119.92
_symmetry_space_group_name_H-M 'P 1'
_symmetry_Int_Tables_number 1
loop_
_symmetry_equiv_pos_as_xyz
'x,y,z'
loop_
_atom_site_label
_atom_site_type_symbol
_atom_site_fract_x
_atom_site_fract_y
_atom_site_fract_z
_atom_site_occupancy
Na1 Na 0.854 0.146 0.000 1
Na2 Na 0.146 0.854 0.000 1
Dy1 Dy 0.337 0.663 0.500 1
Dy2 Dy 0.663 0.337 0.500 1
Ru1 Ru 0.000 0.000 0.500 1
O1 O 0.752 0.752 0.702 1
O2 O 0.043 0.356 0.692 1
O3 O 0.248 0.248 0.298 1
O4 O 0.356 0.043 0.692 1
O5 O 0.957 0.644 0.308 1
O6 O 0.644 0.957 0.308 1
# Raw formation energy in eV per atom: -2.2265
# Crystal system: monoclinic
# D(E_F) in states/eV/cell: 6.1

---

# LiTbZn2Pd4 PBE-GGA relaxed
data_LiTbZn2Pd4
_chemical_formula_sum 'Li1 Tb1 Zn2 Pd4'
_cell_length_a 4.396
_cell_length_b 4.396
_cell_length_c 8.177
_cell_angle_alpha 74.40
_cell_angle_beta 74.40
_cell_angle_gamma 60.00
_symmetry_space_group_name_H-M 'P 1'
_symmetry_Int_Tables_number 1
loop_
_symmetry_equiv_pos_as_xyz
'x,y,z'
loop_
_atom_site_label
_atom_site_type_symbol
_atom_site_fract_x
_atom_site_fract_y
_atom_site_fract_z
_atom_site_occupancy
Li1 Li 0.500 0.500 0.500 1
Tb1 Tb 0.000 0.000 0.000 1
Zn1 Zn 0.758 0.758 0.725 1
Zn2 Zn 0.242 0.242 0.275 1
Pd1 Pd 0.394 0.394 0.818 1
Pd2 Pd 0.873 0.873 0.382 1
Pd3 Pd 0.127 0.127 0.618 1
Pd4 Pd 0.606 0.606 0.182 1
# Crystal system: trigonal
# DFT formation energy in meV per atom: -644
# D(E_F) in states/eV/cell: 3.6

---

# Ag4RuRh PBE-GGA relaxed
data_Ag4RuRh
_chemical_formula_sum 'Ag4 Ru1 Rh1'
_cell_length_a 5.296
_cell_length_b 5.296
_cell_length_c 5.296
_cell_angle_alpha 60.00
_cell_angle_beta 60.00
_cell_angle_gamma 60.00
_symmetry_space_group_name_H-M 'P 1'
_symmetry_Int_Tables_number 1
loop_
_symmetry_equiv_pos_as_xyz
'x,y,z'
loop_
_atom_site_label
_atom_site_type_symbol
_atom_site_fract_x
_atom_site_fract_y
_atom_site_fract_z
_atom_site_occupancy
Ag1 Ag 0.625 0.625 0.125 1
Ag2 Ag 0.625 0.125 0.625 1
Ag3 Ag 0.625 0.625 0.625 1
Ag4 Ag 0.125 0.625 0.625 1
Ru1 Ru 0.000 0.000 0.000 1
Rh1 Rh 0.250 0.250 0.250 1
# Crystal system: cubic
# DFT formation energy in meV per atom: 680
# D(E_F) in states/eV/cell: 2.6